(1)
# PBE Tl5InHg4, optimized geometry
# Energy of formation (meV per atom): -2
data_Tl5InHg4
_symmetry_space_group_name_H-M 'P 1'
_symmetry_Int_Tables_number 1
_cell_length_a 3.995
_cell_length_b 3.995
_cell_length_c 18.167
_cell_angle_alpha 90.00
_cell_angle_beta 90.00
_cell_angle_gamma 90.00
loop_
_symmetry_equiv_pos_as_xyz
'x,y,z'
loop_
_atom_site_label
_atom_site_type_symbol
_atom_site_fract_x
_atom_site_fract_y
_atom_site_fract_z
Hg1 Hg 0.000 0.000 0.202
Hg2 Hg 0.000 0.000 0.598
Hg3 Hg 0.000 0.000 0.402
Hg4 Hg 0.000 0.000 0.798
Tl1 Tl 0.500 0.500 0.698
Tl2 Tl 0.500 0.500 0.500
Tl3 Tl 0.500 0.500 0.897
Tl4 Tl 0.500 0.500 0.302
Tl5 Tl 0.500 0.500 0.103
In1 In 0.000 0.000 0.000

(2)
# PBE Tl2In3Hg3, optimized geometry
# Energy of formation (meV per atom): 13
data_Tl2In3Hg3
_symmetry_space_group_name_H-M 'P 1'
_symmetry_Int_Tables_number 1
_cell_length_a 4.833
_cell_length_b 4.904
_cell_length_c 9.875
_cell_angle_alpha 104.38
_cell_angle_beta 104.16
_cell_angle_gamma 90.00
loop_
_symmetry_equiv_pos_as_xyz
'x,y,z'
loop_
_atom_site_label
_atom_site_type_symbol
_atom_site_fract_x
_atom_site_fract_y
_atom_site_fract_z
Tl1 Tl 0.747 0.247 0.493
Tl2 Tl 0.253 0.753 0.507
Hg1 Hg 0.121 0.121 0.241
Hg2 Hg 0.879 0.879 0.759
Hg3 Hg 0.000 0.500 0.000
In1 In 0.615 0.615 0.230
In2 In 0.385 0.385 0.770
In3 In 0.500 0.000 0.000

(3)
# PBE Tl3In4Hg9, optimized geometry
# Energy of formation (meV per atom): 39
data_Tl3In4Hg9
_symmetry_space_group_name_H-M 'P 1'
_symmetry_Int_Tables_number 1
_cell_length_a 5.848
_cell_length_b 5.848
_cell_length_c 16.191
_cell_angle_alpha 79.59
_cell_angle_beta 79.59
_cell_angle_gamma 60.00
loop_
_symmetry_equiv_pos_as_xyz
'x,y,z'
loop_
_atom_site_label
_atom_site_type_symbol
_atom_site_fract_x
_atom_site_fract_y
_atom_site_fract_z
Tl1 Tl 0.801 0.801 0.596
Tl2 Tl 0.023 0.023 0.930
Tl3 Tl 0.474 0.474 0.579
Hg1 Hg 0.292 0.633 0.096
Hg2 Hg 0.417 0.092 0.770
Hg3 Hg 0.633 0.979 0.096
Hg4 Hg 0.979 0.292 0.096
Hg5 Hg 0.171 0.545 0.412
Hg6 Hg 0.092 0.721 0.770
Hg7 Hg 0.545 0.873 0.412
Hg8 Hg 0.721 0.417 0.770
Hg9 Hg 0.873 0.171 0.412
In1 In 0.136 0.136 0.593
In2 In 0.581 0.581 0.257
In3 In 0.248 0.248 0.256
In4 In 0.688 0.688 0.936

(4)
# PBE TlInHg2, optimized geometry
# Energy of formation (meV per atom): -2
data_TlInHg2
_symmetry_space_group_name_H-M 'P 1'
_symmetry_Int_Tables_number 1
_cell_length_a 6.289
_cell_length_b 6.289
_cell_length_c 5.159
_cell_angle_alpha 65.48
_cell_angle_beta 65.48
_cell_angle_gamma 37.08
loop_
_symmetry_equiv_pos_as_xyz
'x,y,z'
loop_
_atom_site_label
_atom_site_type_symbol
_atom_site_fract_x
_atom_site_fract_y
_atom_site_fract_z
In1 In 0.491 0.491 0.506
Hg1 Hg 0.008 0.008 0.990
Hg2 Hg 0.749 0.749 0.754
Tl1 Tl 0.252 0.252 0.250